VASP calculation (PBE-GGA) on Ta2AgP after structural relaxation.

The formation energy is -0.081 eV/atom. Its crystal system is tetragonal. Its final energy is -8.0722 eV/atom.

The structure belongs to space group P4/mmm (No. 123); the cell edges are 3.049, 3.049 and 7.110 Å and the angles 90.00°, 90.00° and 90.00°. The asymmetric unit holds Ta at (0.000, 0.000, 0.208), Ag at (0.500, 0.500, 0.500) and P at (0.500, 0.500, 0.000).